# 1
Density functional theory data (GGA-PBE) for a relaxed structure of RbZr3S.

Its energy relative to the lowest polymorph listed for this composition is 46.11 kcal/mol of atoms. The calculation puts the energy relative to the elements, uncorrected at 10.86 eV per formula unit. Its spin magnetization is 0.3328 μB/atom.

Unit cell a=5.062 b=5.062 c=5.062 alpha=90.00 beta=90.00 gamma=90.00
Fractional positions:
Rb1 0.000 0.000 0.000
Zr1 0.000 0.000 0.500
Zr2 0.000 0.500 0.000
Zr3 0.500 0.000 0.000
S1 0.500 0.500 0.500



# 2
Density functional theory data (GGA-PBE) for a relaxed structure of Y2NiPbN.

The calculation puts the energy relative to the elements, uncorrected at -3.42 eV per formula unit. Its spin magnetization is 0.0540 μB/atom.

Unit cell a=4.931 b=4.931 c=3.962 alpha=90.00 beta=90.00 gamma=90.00
Fractional positions:
Y1 0.000 0.500 0.000
Y2 0.500 0.000 0.000
Ni1 0.000 0.000 0.500
Pb1 0.500 0.500 0.500
N1 0.000 0.000 0.000



# 3
Density functional theory data (GGA-PBE) for a relaxed structure of Ce3TcB2N6.

The calculation puts the energy relative to the elements, uncorrected at -11.57 eV per formula unit. Its spin magnetization is 0.0899 μB/atom.

Unit cell a=5.310 b=5.310 c=6.302 alpha=90.00 beta=90.00 gamma=120.00
Fractional positions:
Ce1 0.000 0.000 0.000
Ce2 0.333 0.667 0.661
Ce3 0.667 0.333 0.339
Tc1 0.000 0.000 0.500
B1 0.333 0.667 0.256
B2 0.667 0.333 0.744
N1 0.176 0.352 0.276
N2 0.176 0.824 0.276
N3 0.352 0.176 0.724
N4 0.648 0.824 0.276
N5 0.824 0.176 0.724
N6 0.824 0.648 0.724



# 4
Density functional theory data (GGA-PBE) for a relaxed structure of LaSm2Mg5.

Its spin magnetization is 0.0000 μB/atom. The value obtained for the calculated formation energy is -0.0985 eV/atom.

Unit cell a=8.655 b=8.655 c=8.655 alpha=144.11 beta=144.11 gamma=51.67
Fractional positions:
La1 0.000 0.000 0.000
Sm1 0.261 0.261 0.000
Sm2 0.739 0.739 0.000
Mg1 0.121 0.621 0.500
Mg2 0.379 0.879 0.500
Mg3 0.500 0.500 0.000
Mg4 0.621 0.121 0.500
Mg5 0.879 0.379 0.500